14
Lattice="9.8357 0.0000 0.0000 -4.9179 8.5180 0.0000 0.0000 0.0000 5.8888" Properties=species:S:1:pos:R:3 comment="PBE-GGA La3Tb3Pr, optimized geometry" magmom_total_mub_per_cell=0.0 dft_energy_ev_per_atom=-4.743 space_group="P6_3/m, No. 176" formation_energy_ev_per_atom=0.036 dos_at_fermi_per_ev_atom=1.843 pbc="T T T"
La -2.1242 5.3184 1.4722
La 1.3741 4.0191 1.4722
La 4.1677 0.8196 4.4166
La 0.7502 7.6984 1.4722
La 3.5438 4.4989 4.4166
La 7.0421 3.1996 4.4166
Tb -3.5565 6.9424 4.4166
Tb 0.6838 1.9668 4.4166
Tb 2.0452 0.3912 1.4722
Tb 2.8726 8.1268 4.4166
Tb 4.2340 6.5512 1.4722
Tb 8.4743 1.5756 1.4722
Pr 0.0000 5.6787 4.4166
Pr 4.9179 2.8393 1.4722